Record 1
The following is a PBE calculation of a relaxed structure of Tl3Pd3Pt2, from the Alexandria database.

```
Tl3Pd3Pt2
1.0
-1.937 2.118 8.960
1.937 -2.118 8.960
1.937 2.118 -8.960
Tl Pd Pt
3 3 2
Direct
0.000 0.000 0.000 Tl
0.361 0.861 0.500 Tl
0.639 0.139 0.500 Tl
0.121 0.621 0.500 Pd
0.500 0.500 0.000 Pd
0.879 0.379 0.500 Pd
0.248 0.248 0.000 Pt
0.752 0.752 0.000 Pt
```

Results
D(E_F) ... 3.6 states/eV per cell
ΔH_f (0 K) ... -0.078 eV per atom
Space-group type ... Immm
Magnetic moment ... 0.000 μB per atom
E_tot ... -35.39 eV per formula unit


Record 2
The following is a PBE calculation of a relaxed structure of Tl8Pd2Pt, from the Alexandria database.

```
Tl8Pd2Pt
1.0
7.725 -2.406 0.000
7.725 2.406 0.000
-1.400 0.000 8.033
Tl Pd Pt
8 2 1
Direct
0.059 0.059 0.179 Tl
0.189 0.189 0.563 Tl
0.315 0.315 0.937 Tl
0.439 0.439 0.307 Tl
0.561 0.561 0.693 Tl
0.685 0.685 0.063 Tl
0.811 0.811 0.437 Tl
0.941 0.941 0.821 Tl
0.248 0.248 0.247 Pd
0.752 0.752 0.753 Pd
0.000 0.000 0.500 Pt
```

Results
D(E_F) ... 3.9 states/eV per cell
ΔH_f (0 K) ... -0.061 eV per atom
Space-group type ... C2/m
Magnetic moment ... 0.000 μB per atom
E_tot ... -36.02 eV per formula unit


Record 3
The following is a PBE calculation of a relaxed structure of Tl3Pd5Pt, from the Alexandria database.

```
Tl3Pd5Pt
1.0
8.098 0.000 0.000
-4.049 7.013 0.000
0.000 0.000 5.698
Tl Pd Pt
6 10 2
Direct
0.000 0.355 0.250 Tl
0.000 0.645 0.750 Tl
0.355 0.000 0.250 Tl
0.355 0.355 0.750 Tl
0.645 0.000 0.750 Tl
0.645 0.645 0.250 Tl
0.000 0.309 0.750 Pd
0.000 0.691 0.250 Pd
0.309 0.000 0.750 Pd
0.309 0.309 0.250 Pd
0.333 0.667 0.000 Pd
0.333 0.667 0.500 Pd
0.667 0.333 0.000 Pd
0.667 0.333 0.500 Pd
0.691 0.000 0.250 Pd
0.691 0.691 0.750 Pd
0.000 0.000 0.000 Pt
0.000 0.000 0.500 Pt
```

Results
D(E_F) ... 5.3 states/eV per cell
ΔH_f (0 K) ... -0.151 eV per atom
Space-group type ... P6_3/mcm
Magnetic moment ... 0.000 μB per atom
E_tot ... -40.46 eV per formula unit


Record 4
The following is a PBE calculation of a relaxed structure of Tl2PdPt2, from the Alexandria database.

```
Tl2PdPt2
1.0
-1.857 1.857 7.672
1.857 -1.857 7.672
1.857 1.857 -7.672
Tl Pd Pt
2 1 2
Direct
0.103 0.103 0.000 Tl
0.897 0.897 0.000 Tl
0.500 0.500 0.000 Pd
0.250 0.750 0.500 Pt
0.750 0.250 0.500 Pt
```

Results
D(E_F) ... 2.7 states/eV per cell
ΔH_f (0 K) ... 0.111 eV per atom
Space-group type ... I4/mmm
Magnetic moment ... 0.000 μB per atom
E_tot ... -21.45 eV per formula unit


Record 5
The following is a PBE calculation of a relaxed structure of Tl2PdPt2, from the Alexandria database.

```
Tl2PdPt2
1.0
7.270 0.000 0.000
0.000 7.270 0.000
0.000 0.000 3.731
Tl Pd Pt
4 2 4
Direct
0.171 0.329 0.000 Tl
0.329 0.829 0.000 Tl
0.671 0.171 0.000 Tl
0.829 0.671 0.000 Tl
0.000 0.000 0.500 Pd
0.500 0.500 0.500 Pd
0.133 0.633 0.500 Pt
0.367 0.133 0.500 Pt
0.633 0.867 0.500 Pt
0.867 0.367 0.500 Pt
```

Results
D(E_F) ... 5.1 states/eV per cell
ΔH_f (0 K) ... 0.020 eV per atom
Space-group type ... P4/mbm
Magnetic moment ... 0.000 μB per atom
E_tot ... -21.91 eV per formula unit


Record 6
The following is a PBE calculation of a relaxed structure of TlPd4Pt, from the Alexandria database.

```
TlPd4Pt
1.0
2.064 -5.776 0.000
2.064 5.776 0.000
0.000 0.000 4.152
Tl Pd Pt
1 4 1
Direct
0.000 0.000 0.000 Tl
0.170 0.830 0.500 Pd
0.332 0.668 0.000 Pd
0.668 0.332 0.000 Pd
0.830 0.170 0.500 Pd
0.500 0.500 0.500 Pt
```

Results
D(E_F) ... 7.9 states/eV per cell
ΔH_f (0 K) ... -0.095 eV per atom
Space-group type ... Cmmm
Magnetic moment ... 0.000 μB per atom
E_tot ... -29.75 eV per formula unit


Record 7
The following is a PBE calculation of a relaxed structure of TlPd5Pt5, from the Alexandria database.

```
TlPd5Pt5
1.0
5.085 0.000 0.000
-0.432 5.288 0.000
-1.027 -0.845 6.817
Tl Pd Pt
1 5 5
Direct
0.000 0.000 0.000 Tl
0.000 0.500 0.000 Pd
0.019 0.186 0.647 Pd
0.500 0.239 0.887 Pd
0.500 0.761 0.113 Pd
0.981 0.814 0.353 Pd
0.252 0.709 0.722 Pt
0.283 0.413 0.365 Pt
0.500 0.000 0.500 Pt
0.717 0.587 0.635 Pt
0.748 0.291 0.278 Pt
```

Results
D(E_F) ... 14.6 states/eV per cell
ΔH_f (0 K) ... 0.056 eV per atom
Space-group type ... P-1
Magnetic moment ... 0.000 μB per atom
E_tot ... -57.92 eV per formula unit


Record 8
The following is a PBE calculation of a relaxed structure of TlPd4Pt5, from the Alexandria database.

```
TlPd4Pt5
1.0
4.846 0.000 0.000
0.226 5.499 0.000
0.096 2.412 6.761
Tl Pd Pt
1 4 5
Direct
0.000 0.000 0.000 Tl
0.165 0.576 0.339 Pd
0.497 0.250 0.005 Pd
0.503 0.750 0.995 Pd
0.835 0.424 0.661 Pd
0.000 0.500 0.000 Pt
0.316 0.669 0.670 Pt
0.359 0.158 0.652 Pt
0.641 0.842 0.348 Pt
0.684 0.331 0.330 Pt
```

Results
D(E_F) ... 13.7 states/eV per cell
ΔH_f (0 K) ... 0.145 eV per atom
Space-group type ... P-1
Magnetic moment ... 0.000 μB per atom
E_tot ... -51.89 eV per formula unit


Record 9
The following is a PBE calculation of a relaxed structure of Tl2Pd4Pt, from the Alexandria database.

```
Tl2Pd4Pt
1.0
3.871 -4.135 0.000
3.871 4.135 0.000
0.000 0.000 4.094
Tl Pd Pt
2 4 1
Direct
0.222 0.222 0.000 Tl
0.778 0.778 0.000 Tl
0.000 0.500 0.500 Pd
0.265 0.735 0.000 Pd
0.500 0.000 0.500 Pd
0.735 0.265 0.000 Pd
0.500 0.500 0.500 Pt
```

Results
D(E_F) ... 6.0 states/eV per cell
ΔH_f (0 K) ... -0.096 eV per atom
Space-group type ... Cmmm
Magnetic moment ... 0.000 μB per atom
E_tot ... -32.22 eV per formula unit


Record 10
The following is a PBE calculation of a relaxed structure of Tl6Pd12Pt, from the Alexandria database.

```
Tl6Pd12Pt
1.0
6.074 3.507 2.778
-6.074 3.507 2.778
0.000 -7.014 2.778
Tl Pd Pt
6 12 1
Direct
0.048 0.293 0.400 Tl
0.293 0.400 0.048 Tl
0.400 0.048 0.293 Tl
0.600 0.952 0.707 Tl
0.707 0.600 0.952 Tl
0.952 0.707 0.600 Tl
0.012 0.897 0.320 Pd
0.103 0.680 0.988 Pd
0.226 0.668 0.380 Pd
0.320 0.012 0.897 Pd
0.332 0.620 0.774 Pd
0.380 0.226 0.668 Pd
0.620 0.774 0.332 Pd
0.668 0.380 0.226 Pd
0.680 0.988 0.103 Pd
0.774 0.332 0.620 Pd
0.897 0.320 0.012 Pd
0.988 0.103 0.680 Pd
0.500 0.500 0.500 Pt
```

Results
D(E_F) ... 8.0 states/eV per cell
ΔH_f (0 K) ... -0.127 eV per atom
Space-group type ... R-3
Magnetic moment ... 0.000 μB per atom
E_tot ... -84.96 eV per formula unit


Record 11
The following is a PBE calculation of a relaxed structure of TlPd2Pt3, from the Alexandria database.

```
TlPd2Pt3
1.0
2.827 -6.996 0.000
2.827 6.996 0.000
0.000 0.000 5.188
Tl Pd Pt
2 4 6
Direct
0.150 0.850 0.750 Tl
0.850 0.150 0.250 Tl
0.260 0.260 0.000 Pd
0.260 0.260 0.500 Pd
0.740 0.740 0.000 Pd
0.740 0.740 0.500 Pd
0.078 0.427 0.750 Pt
0.345 0.655 0.250 Pt
0.427 0.078 0.250 Pt
0.573 0.922 0.750 Pt
0.655 0.345 0.750 Pt
0.922 0.573 0.250 Pt
```

Results
D(E_F) ... 15.7 states/eV per cell
ΔH_f (0 K) ... 0.102 eV per atom
Space-group type ... Cmcm
Magnetic moment ... 0.000 μB per atom
E_tot ... -30.26 eV per formula unit


Record 12
The following is a PBE calculation of a relaxed structure of Tl2Pd3Pt2, from the Alexandria database.

```
Tl2Pd3Pt2
1.0
4.538 -1.976 0.000
4.538 1.976 0.000
-3.471 0.000 7.283
Tl Pd Pt
2 3 2
Direct
0.002 0.002 0.274 Tl
0.998 0.998 0.726 Tl
0.255 0.255 0.629 Pd
0.500 0.500 0.000 Pd
0.745 0.745 0.371 Pd
0.246 0.246 0.120 Pt
0.754 0.754 0.880 Pt
```

Results
D(E_F) ... 5.0 states/eV per cell
ΔH_f (0 K) ... -0.079 eV per atom
Space-group type ... C2/m
Magnetic moment ... 0.000 μB per atom
E_tot ... -32.95 eV per formula unit